A relaxed RbDySe2O6 crystal, computed with GGA-PBE.

The structure in POSCAR format:
```
RbDySe2O6
1.0
5.755 0.000 0.000
2.878 4.984 0.000
2.878 1.661 6.436
O Dy Se Rb
6 1 2 1
direct
0.536 0.690 0.704
0.930 0.464 0.296
0.690 0.070 0.704
0.070 0.536 0.704
0.310 0.930 0.296
0.464 0.310 0.296
0.500 0.500 0.500
0.730 0.730 0.810
0.270 0.270 0.190
0.000 0.000 0.000
```

Output
V	185	Å³/cell
formation energy from raw total energies	-1740	meV per atom

***

A relaxed NaLiRhO2 crystal, computed with GGA-PBE.

The structure in POSCAR format:
```
NaLiRhO2
1.0
-3.307 -0.366 0.866
1.719 -4.411 4.701
-0.334 6.472 1.461
Rh O Na Li
2 4 2 2
direct
0.500 0.750 0.000
0.500 0.250 0.000
0.500 0.607 0.214
0.500 0.393 0.786
0.500 0.893 0.786
0.500 0.107 0.214
0.000 0.250 0.500
0.000 0.750 0.500
0.000 0.000 0.000
0.000 0.500 0.000
```

Output
V	132	Å³/cell
formation energy from raw total energies	-1002	meV per atom

***

A relaxed TaCoAg2 crystal, computed with GGA-PBE.

The structure in POSCAR format:
```
TaCoAg2
1.0
-0.874 4.427 1.905
-0.114 -1.105 2.515
4.699 0.575 0.820
Ag Ta Co
2 1 1
direct
0.000 0.475 0.495
0.000 0.025 0.005
0.500 0.750 0.750
0.500 0.250 0.250
```

Output
V	65	Å³/cell
formation energy from the elements	0.40	eV/atom
relative energy among the computed polymorphs	0.966	eV/f.u.

***

A relaxed KYRh2W crystal, computed with GGA-PBE.

The structure in POSCAR format:
```
KYRh2W
1.0
4.811 0.000 0.000
0.000 5.145 0.000
0.000 0.000 4.811
Rh W K Y
2 1 1 1
direct
0.000 0.000 0.500
0.500 0.000 0.000
0.000 0.000 0.000
0.000 0.500 0.000
0.500 0.500 0.500
```

Output
V	119	Å³/cell
formation energy from the elements	1.02	eV/atom
relative energy among the computed polymorphs	0.000	eV/f.u.